This record from the Alexandria database describes an optimized crystal structure of Sm6DyTm2Th. The functional is PBE.

Computed properties:
**Density of states at the Fermi level**: 28.8 states/eV per cell
**Formation energy**: 1.5 eV per formula unit

Cell lengths 9.5287, 8.8174, 8.8174 Å; angles 115.94, 93.42, 93.42 degrees
Last column: nearest neighbours and their distance in Å.
Fractional coordinates of all 20 atoms:
Sm1 0.6864 0.0088 0.5705  1 Sm 3.27, 1 Th 3.43, 1 Tm 3.43, 1 Dy 3.43
Sm2 0.1163 0.7051 0.4822  4 Sm 3.25-3.62, 3 Tm 3.30-3.46, 2 Dy 3.43-3.52
Sm3 0.1864 0.5705 0.0088  1 Sm 3.27, 1 Th 3.43, 1 Tm 3.43, 1 Dy 3.43
Sm4 0.5588 0.7642 0.1116  7 Sm 3.45-3.76, 2 Tm 3.48-3.83, 2 Th 3.60-3.72
Sm5 0.0588 0.1116 0.7642  7 Sm 3.45-3.76, 2 Tm 3.48-3.83, 2 Th 3.60-3.72
Sm6 0.8837 0.2949 0.5178  4 Sm 3.25-3.62, 3 Tm 3.30-3.46, 2 Dy 3.43-3.52
Sm7 0.3136 0.9912 0.4295  1 Sm 3.27, 1 Th 3.43, 1 Tm 3.43, 1 Dy 3.43
Sm8 0.8136 0.4295 0.9912  1 Sm 3.27, 1 Th 3.43, 1 Tm 3.43, 1 Dy 3.43
Sm9 0.3837 0.5178 0.2949  4 Sm 3.25-3.62, 3 Tm 3.30-3.46, 2 Dy 3.43-3.52
Sm10 0.4412 0.2358 0.8884  7 Sm 3.45-3.76, 2 Tm 3.48-3.83, 2 Th 3.60-3.72
Sm11 0.6163 0.4822 0.7051  4 Sm 3.25-3.62, 3 Tm 3.30-3.46, 2 Dy 3.43-3.52
Sm12 0.9412 0.8884 0.2358  7 Sm 3.45-3.76, 2 Tm 3.48-3.83, 2 Th 3.60-3.72
Dy1 0.7500 0.5904 0.4096  6 Sm 3.43-3.52, 2 Tm 3.50
Dy2 0.2500 0.4096 0.5904  6 Sm 3.43-3.52, 2 Tm 3.50
Th1 0.7500 0.0328 0.9672  4 Tm 3.37-3.51, 6 Sm 3.43-3.72
Th2 0.2500 0.9672 0.0328  4 Tm 3.37-3.51, 6 Sm 3.43-3.72
Tm1 0.9472 0.7034 0.7977  5 Sm 3.30-3.48, 2 Th 3.37-3.51, 1 Dy 3.50
Tm2 0.4472 0.7977 0.7034  5 Sm 3.30-3.48, 2 Th 3.37-3.51, 1 Dy 3.50
Tm3 0.0528 0.2966 0.2023  5 Sm 3.30-3.48, 2 Th 3.37-3.51, 1 Dy 3.50
Tm4 0.5528 0.2023 0.2966  5 Sm 3.30-3.48, 2 Th 3.37-3.51, 1 Dy 3.50

This record from the Alexandria database describes an optimized crystal structure of SmDy3Tm6Th2. The functional is PBE.

Computed properties:
**Density of states at the Fermi level**: 16.3 states/eV per cell
**Formation energy**: 0.3 eV per formula unit

Cell lengths 6.1288, 6.1288, 11.6217 Å; angles 95.05, 95.05, 119.96 degrees
Last column: nearest neighbours and their distance in Å.
Fractional coordinates of all 12 atoms:
Dy1 0.1662 0.8338 0.5000  6 Tm 3.51-3.54, 6 Dy 3.53-3.54
Dy2 0.5000 0.5000 0.5000  6 Tm 3.51-3.53, 6 Dy 3.54
Dy3 0.8338 0.1662 0.5000  6 Tm 3.51-3.54, 6 Dy 3.53-3.54
Tm1 0.9166 0.5790 0.7514  2 Th 3.49, 3 Dy 3.51-3.54, 6 Tm 3.52-3.59, 1 Sm 3.52
Tm2 0.7456 0.7456 0.2487  2 Th 3.50, 3 Dy 3.51-3.53, 6 Tm 3.52-3.59, 1 Sm 3.52
Tm3 0.0834 0.4210 0.2486  2 Th 3.49, 3 Dy 3.51-3.54, 6 Tm 3.52-3.59, 1 Sm 3.52
Tm4 0.5790 0.9166 0.7514  2 Th 3.49, 3 Dy 3.51-3.54, 6 Tm 3.52-3.59, 1 Sm 3.52
Tm5 0.2544 0.2544 0.7513  2 Th 3.50, 3 Dy 3.51-3.53, 6 Tm 3.52-3.59, 1 Sm 3.52
Tm6 0.4210 0.0834 0.2486  2 Th 3.49, 3 Dy 3.51-3.54, 6 Tm 3.52-3.59, 1 Sm 3.52
Th1 0.3332 0.6668 0.0000  6 Tm 3.49-3.50, 3 Sm 3.54, 3 Th 3.54
Th2 0.6668 0.3332 0.0000  6 Tm 3.49-3.50, 3 Sm 3.54, 3 Th 3.54
Sm1 0.0000 0.0000 0.0000  6 Tm 3.52, 6 Th 3.54

This record from the Alexandria database describes an optimized crystal structure of Sm4DyTm2Th. The functional is PBE.

Computed properties:
**Density of states at the Fermi level**: 11.4 states/eV per cell
**Formation energy**: 0.3 eV per formula unit

Cell lengths 5.0527, 5.0448, 11.3431 Å; angles 63.59, 90.00, 90.00 degrees
Last column: nearest neighbours and their distance in Å.
Fractional coordinates of all 8 atoms:
Dy1 0.5000 0.5000 0.0000  4 Tm 3.57, 8 Sm 3.59
Th1 0.0000 0.5000 0.5000  8 Sm 3.57, 4 Tm 3.57
Tm1 0.5000 0.0000 0.5000  8 Sm 3.57, 4 Th 3.57
Tm2 0.0000 0.0000 0.0000  4 Dy 3.57, 8 Sm 3.59-3.60
Sm1 0.0000 0.7509 0.7489  4 Sm 3.57, 2 Th 3.57, 4 Tm 3.57-3.59, 2 Dy 3.59
Sm2 0.0000 0.2491 0.2511  4 Sm 3.57, 2 Th 3.57, 4 Tm 3.57-3.59, 2 Dy 3.59
Sm3 0.5000 0.2518 0.7482  4 Tm 3.57-3.60, 2 Th 3.57, 4 Sm 3.57, 2 Dy 3.59
Sm4 0.5000 0.7482 0.2518  4 Tm 3.57-3.60, 2 Th 3.57, 4 Sm 3.57, 2 Dy 3.59

This record from the Alexandria database describes an optimized crystal structure of SmDyY5Th2. The functional is PBE.

Computed properties:
**Density of states at the Fermi level**: 24.8 states/eV per cell
**Formation energy**: 2.9 eV per formula unit

Cell lengths 8.7874, 8.7874, 9.9483 Å; angles 116.21, 116.21, 90.00 degrees
Last column: nearest neighbours and their distance in Å.
Fractional coordinates of all 18 atoms:
Y1 0.1523 0.0697 0.7219  1 Th 3.04, 1 Sm 3.11
Y2 0.4303 0.3477 0.2781  1 Th 3.04, 1 Sm 3.11
Y3 0.8477 0.9303 0.2781  1 Th 3.04, 1 Sm 3.11
Y4 0.9303 0.4303 0.2781  1 Th 3.04, 1 Sm 3.11
Y5 0.6523 0.1523 0.7219  1 Th 3.04, 1 Sm 3.11
Y6 0.0697 0.5697 0.7219  1 Th 3.04, 1 Sm 3.11
Y7 0.5000 0.5000 0.0000  4 Th 3.51, 8 Y 3.82, 2 Dy 3.88
Y8 0.5697 0.6523 0.7219  1 Th 3.04, 1 Sm 3.11
Y9 0.0000 0.0000 0.0000  4 Th 3.51, 8 Y 3.82, 2 Dy 3.88
Y10 0.3477 0.8477 0.2781  1 Th 3.04, 1 Sm 3.11
Dy1 0.2500 0.2500 0.5000  10 Y 3.59-3.88
Dy2 0.7500 0.7500 0.5000  10 Y 3.59-3.88
Sm1 0.2500 0.7500 0.5000  4 Y 3.11
Sm2 0.7500 0.2500 0.5000  4 Y 3.11
Th1 0.6189 0.1189 0.0000  1 Th 2.96, 2 Y 3.04
Th2 0.3811 0.8811 0.0000  1 Th 2.96, 2 Y 3.04
Th3 0.1189 0.3811 0.0000  1 Th 2.96, 2 Y 3.04
Th4 0.8811 0.6189 0.0000  1 Th 2.96, 2 Y 3.04

This record from the Alexandria database describes an optimized crystal structure of SmDy2YTh. The functional is PBE.

Computed properties:
**Density of states at the Fermi level**: 13.5 states/eV per cell
**Formation energy**: 1.6 eV per formula unit

Cell lengths 6.4241, 8.5123, 6.3252 Å; angles 98.02, 90.00, 90.00 degrees
Last column: nearest neighbours and their distance in Å.
Fractional coordinates of all 10 atoms:
Th1 0.4477 0.0000 0.7500  2 Dy 3.13, 2 Th 3.23, 2 Sm 3.28
Th2 0.5523 0.0000 0.2500  2 Dy 3.13, 2 Th 3.23, 2 Sm 3.28
Dy1 0.6900 0.3133 0.7074  1 Th 3.13, 1 Dy 3.15, 1 Sm 3.44, 1 Y 3.50
Dy2 0.6900 0.6867 0.7926  1 Th 3.13, 1 Dy 3.15, 1 Sm 3.44, 1 Y 3.50
Dy3 0.3100 0.3133 0.2074  1 Th 3.13, 1 Dy 3.15, 1 Sm 3.44, 1 Y 3.50
Dy4 0.3100 0.6867 0.2926  1 Th 3.13, 1 Dy 3.15, 1 Sm 3.44, 1 Y 3.50
Sm1 0.0000 0.0000 0.5000  2 Sm 3.16, 2 Th 3.28, 2 Dy 3.44
Sm2 0.0000 0.0000 0.0000  2 Sm 3.16, 2 Th 3.28, 2 Dy 3.44
Y1 0.8230 0.5000 0.2500  8 Dy 3.50-3.68, 2 Y 3.90
Y2 0.1770 0.5000 0.7500  8 Dy 3.50-3.68, 2 Y 3.90

This record from the Alexandria database describes an optimized crystal structure of Sm3Dy6Y2Th. The functional is PBE.

Computed properties:
**Density of states at the Fermi level**: 15.7 states/eV per cell
**Formation energy**: 0.3 eV per formula unit

Cell lengths 6.1921, 6.1921, 11.8298 Å; angles 95.01, 95.01, 119.97 degrees
Last column: nearest neighbours and their distance in Å.
Fractional coordinates of all 12 atoms:
Y1 0.3333 0.6667 0.0000  6 Dy 3.56, 3 Th 3.57-3.58, 3 Y 3.58
Y2 0.6667 0.3333 0.0000  6 Dy 3.56, 3 Th 3.57-3.58, 3 Y 3.58
Sm1 0.1671 0.8329 0.5000  6 Sm 3.57-3.58, 6 Dy 3.58-3.60
Sm2 0.8329 0.1671 0.5000  6 Sm 3.57-3.58, 6 Dy 3.58-3.60
Sm3 0.5000 0.5000 0.5000  6 Sm 3.57-3.58, 6 Dy 3.58-3.60
Dy1 0.2459 0.2459 0.7518  6 Dy 3.53-3.60, 1 Th 3.54, 2 Y 3.56, 3 Sm 3.58-3.60
Dy2 0.4129 0.0835 0.2483  6 Dy 3.53-3.60, 1 Th 3.54, 2 Y 3.56, 3 Sm 3.58-3.60
Dy3 0.7541 0.7541 0.2482  6 Dy 3.53-3.60, 1 Th 3.54, 2 Y 3.56, 3 Sm 3.58-3.60
Dy4 0.0835 0.4129 0.2483  6 Dy 3.53-3.60, 1 Th 3.54, 2 Y 3.56, 3 Sm 3.58-3.60
Dy5 0.9165 0.5871 0.7517  6 Dy 3.53-3.60, 1 Th 3.54, 2 Y 3.56, 3 Sm 3.58-3.60
Dy6 0.5871 0.9165 0.7517  6 Dy 3.53-3.60, 1 Th 3.54, 2 Y 3.56, 3 Sm 3.58-3.60
Th1 0.0000 0.0000 0.0000  6 Dy 3.54, 6 Y 3.57-3.58